Computed, not measured: a relaxed structure of LiZn5Ir at the PBE level of DFT.

abc: 4.7670 4.7670 9.9396
angles: 100.41 100.41 93.43
Last column: nearest neighbours and their distance in Å.
Fractional coordinates of all 14 atoms:
Li  0.1299  0.8701  0.7500  3 Zn 2.51-2.67
Li  0.8701  0.1299  0.2500  3 Zn 2.51-2.67
Zn  0.0154  0.6236  0.1347  4 Zn 2.54-2.82, 1 Ir 2.55, 1 Li 2.67
Zn  0.0231  0.2848  0.5579  4 Zn 2.53-2.73, 2 Ir 2.64-2.76
Zn  0.2848  0.0231  0.0579  4 Zn 2.53-2.73, 2 Ir 2.64-2.76
Zn  0.3764  0.9846  0.3653  4 Zn 2.54-2.82, 1 Ir 2.55, 1 Li 2.67
Zn  0.4919  0.5081  0.7500  2 Ir 2.49, 1 Li 2.51, 4 Zn 2.59-2.69
Zn  0.5081  0.4919  0.2500  2 Ir 2.49, 1 Li 2.51, 4 Zn 2.59-2.69
Zn  0.6236  0.0154  0.6347  4 Zn 2.54-2.82, 1 Ir 2.55, 1 Li 2.67
Zn  0.7152  0.9769  0.9421  4 Zn 2.53-2.73, 2 Ir 2.64-2.76
Zn  0.9769  0.7152  0.4421  4 Zn 2.53-2.73, 2 Ir 2.64-2.76
Zn  0.9846  0.3764  0.8653  4 Zn 2.54-2.82, 1 Ir 2.55, 1 Li 2.67
Ir  0.5000  0.5000  0.0000  8 Zn 2.49-2.76
Ir  0.5000  0.5000  0.5000  8 Zn 2.49-2.76

DOS at the Fermi energy: 0.46 states/eV per atom
Crystal system: monoclinic
Energy of formation: -0.101 eV/atom
Mass density: 8.03 g/cm³